A plane-wave DFT calculation with PBE+U was carried out for TiMoOF2 after structural relaxation.

Cell and atoms, written as POSCAR:
```
TiMoOF2
1.0
4.203 0.000 0.000
0.000 4.203 0.000
0.000 0.000 3.877
Ti Mo O F
1 1 1 2
Direct
0.000 0.000 0.000
0.500 0.500 0.500
0.000 0.000 0.500
0.000 0.500 0.000
0.500 0.000 0.000
```

Output
Magnetic moment, μB/cell: 6.00
N(E_F), states/eV per cell: 2.3
Distance to the lowest polymorph of the same formula, meV/atom: 0.0
Calculated total energy, eV/f.u.: -32.964
Crystal system: tetragonal